Computed, not measured: an optimized crystal structure of CeFeSi2Mo at the GGA-PBE level of DFT.

Computed properties:
- VASP energy: -7.69 eV/atom

Cell lengths 4.003, 4.003, 6.064 Å; angles 109.27, 109.27, 90.00 degrees
Atoms (fractional coordinates):
Mo 0.250 0.750 0.500
Si 0.384 0.384 0.768
Si 0.616 0.616 0.232
Ce 0.000 0.000 0.000
Fe 0.750 0.250 0.500

Computed, not measured: an optimized crystal structure of HfZnHg at the GGA-PBE level of DFT.

Computed properties:
- Offset from the most stable computed form: 0.01 eV per formula unit
- Energy of formation from the pure elements: -0.060 eV/atom
- VASP energy: -3.90 eV/atom

Cell lengths 3.114, 3.114, 6.337 Å; angles 104.23, 104.23, 90.00 degrees
Atoms (fractional coordinates):
Zn 0.619 0.619 0.238
Hf 0.273 0.273 0.547
Hg 0.958 0.958 0.915

Computed, not measured: an optimized crystal structure of FeSiW at the GGA-PBE level of DFT.

Computed properties:
- Offset from the most stable computed form: 0.20 eV per formula unit
- VASP energy: -9.19 eV/atom

Cell lengths 4.777, 4.777, 7.539 Å; angles 90.00, 90.00, 119.62 degrees
Atoms (fractional coordinates):
Fe 0.002 0.998 0.742
Fe 0.002 0.998 0.258
Fe 0.169 0.348 0.000
Fe 0.652 0.831 0.000
W 0.335 0.665 0.319
W 0.668 0.332 0.189
W 0.668 0.332 0.811
W 0.335 0.665 0.681
Si 0.339 0.166 0.500
Si 0.834 0.166 0.500
Si 0.834 0.661 0.500
Si 0.163 0.837 0.000

What is the VASP energy in the first record? -7.69 eV/atom

Which value of VASP energy does entry 2 give? -3.90 eV/atom

What did the third record say?
Computed, not measured: an optimized crystal structure of FeSiW at the GGA-PBE level of DFT.

Computed properties:
- Offset from the most stable computed form: 0.20 eV per formula unit
- VASP energy: -9.19 eV/atom

Cell lengths 4.777, 4.777, 7.539 Å; angles 90.00, 90.00, 119.62 degrees
Atoms (fractional coordinates):
Fe 0.002 0.998 0.742
Fe 0.002 0.998 0.258
Fe 0.169 0.348 0.000
Fe 0.652 0.831 0.000
W 0.335 0.665 0.319
W 0.668 0.332 0.189
W 0.668 0.332 0.811
W 0.335 0.665 0.681
Si 0.339 0.166 0.500
Si 0.834 0.166 0.500
Si 0.834 0.661 0.500
Si 0.163 0.837 0.000

Among the records above, which one has the lowest VASP energy? FeSiW